BaIr | GGA-PBE | optimized geometry

The structure belongs to space group Cmmm (No. 65); the cell edges are 4.459, 19.275 and 4.730 Å and the angles 90.00°, 90.00° and 90.00°. Symmetry generates all atoms from Ba at (0.000, 0.000, 0.000), Ba at (0.000, 0.343, 0.500), Ir at (0.000, 0.228, 0.000) and Ir at (0.000, 0.500, 0.500).

For the density of states at the Fermi level, the calculation gives 1.80 states/eV/f.u.

=====

Ba3Ir | GGA-PBE | optimized geometry

The structure belongs to space group P4mm (No. 99); the cell edges are 5.106, 5.106 and 7.155 Å and the angles 90.00°, 90.00° and 90.00°. Symmetry generates all atoms from Ba at (0.000, 0.000, 0.000), Ba at (0.000, 0.500, 0.554) and Ir at (0.500, 0.500, 0.806).

For the density of states at the Fermi level, the calculation gives 3.85 states/eV/f.u.

=====

Number 1: E_form 35 meV/atom, calculated volume 406.52 Å³ per cell. Number 2: E_form 225 meV/atom, calculated volume 186.54 Å³ per cell.